This record from Alexandria via LeMat-Bulk describes crystalline La2YP at its relaxed geometry. The functional is PBE.

Unit cell a=6.7527 b=6.7527 c=3.9455 alpha=90.00 beta=90.00 gamma=132.10
Closest atoms and distances in Å follow each position.
Element x y z (fractional)
La1 0.3330 0.6670 0.0000  2 P 2.85
La2 0.6670 0.3330 0.0000  2 P 2.85
Y1 0.0000 0.0000 0.5000  2 P 2.74
P1 0.5000 0.5000 0.5000  2 Y 2.74, 4 La 2.85

Results
density	4.95	g/cm3
E above lowest polymorph	0.005	eV/atom
DFT formation energy	-2.46	eV/f.u.